A plane-wave DFT calculation with GGA-PBEsol was carried out for crystalline Tc2SbAu at its relaxed geometry.

The structure in POSCAR format:
```
Tc2SbAu
1.0
1.4529 0.8388 9.3399
-1.4529 0.8388 9.3399
0.0000 -1.6776 9.3399
Tc Sb Au
2 1 1
Cartesian
0.0000 0.0000 0.0000
0.0000 0.0000 7.4007
0.0000 0.0000 21.0126
0.0000 0.0000 14.3993
```

Output
The space group is R3m (160). The total magnetization comes out at 0.0 μB/f.u. The raw formation energy is 300 meV per atom. For the density of states at the Fermi level, the calculation gives 3.1 states/eV/cell. The theoretical density is 12.52 Mg/m³.

A plane-wave DFT calculation with GGA-PBEsol was carried out for crystalline TlWCl2 at its relaxed geometry.

The structure in POSCAR format:
```
TlWCl2
1.0
-2.0252 2.0252 5.6997
2.0252 -2.0252 5.6997
2.0252 2.0252 -5.6997
Tl W Cl
1 1 2
Cartesian
0.0000 0.0000 0.0000
0.0000 2.0252 2.8499
2.0252 0.0000 2.8499
0.0000 0.0000 5.6997
```

Output
The space group is I-4m2 (119). The total magnetization comes out at 4.8 μB/f.u. The raw formation energy is 879 meV per atom. For the density of states at the Fermi level, the calculation gives 1.0 states/eV/cell. Its energy above the most stable polymorph in this dataset is 69.13 kJ per mole of atoms. The theoretical density is 8.15 Mg/m³.

A plane-wave DFT calculation with GGA-PBEsol was carried out for crystalline LuTc2 at its relaxed geometry.

The structure in POSCAR format:
```
LuTc2
1.0
5.2487 0.0000 0.0000
-2.6243 4.5455 0.0000
0.0000 0.0000 8.6519
Lu Tc
4 8
Cartesian
0.0000 3.0303 0.5440
0.0000 3.0303 3.7819
2.6243 1.5152 4.8700
2.6243 1.5152 8.1079
0.0000 0.0000 0.0000
0.0000 0.0000 4.3260
0.0000 1.5600 6.4889
-1.2733 3.7655 6.4889
1.3510 0.7800 2.1630
1.2733 3.7655 6.4889
3.8977 0.7800 2.1630
2.6243 2.9855 2.1630
```

Output
The value obtained for the formation energy from the elements is -249.8 meV per atom. The space group is P6_3/mmc (194). The total magnetization comes out at 0.0 μB/f.u. For the density of states at the Fermi level, the calculation gives 12.2 states/eV/cell. The theoretical density is 11.94 Mg/m³.

A plane-wave DFT calculation with GGA-PBEsol was carried out for crystalline Zn2CuPt at its relaxed geometry.

The structure in POSCAR format:
```
Zn2CuPt
1.0
4.2582 -1.3802 0.0000
4.2582 1.3802 0.0000
-0.9056 0.0000 4.5579
Zn Cu Pt
2 1 1
Cartesian
1.8969 0.0000 1.1111
5.7138 0.0000 3.4468
4.2582 0.0000 0.0000
-0.4528 0.0000 2.2789
```

Output
The value obtained for the formation energy from the elements is -279.5 meV per atom. The space group is C2/m (12). The total magnetization comes out at 0.0 μB/f.u. For the density of states at the Fermi level, the calculation gives 1.1 states/eV/cell. The theoretical density is 12.07 Mg/m³.

A plane-wave DFT calculation with GGA-PBEsol was carried out for crystalline LaMg11Al at its relaxed geometry.

The structure in POSCAR format:
```
LaMg11Al
1.0
2.9043 -7.2213 0.0000
2.9043 7.2213 0.0000
-2.8854 0.0000 7.1644
La Mg Al
1 11 1
Cartesian
0.0000 0.0000 0.0000
-1.4427 0.0000 3.5822
1.4522 3.6106 0.0000
0.0221 2.5132 2.5482
0.0329 1.5200 5.6163
0.0221 -2.5132 2.5482
1.4522 -3.6106 0.0000
0.0329 -1.5200 5.6163
2.8905 1.5200 1.5481
2.9012 2.5132 4.6163
2.8905 -1.5200 1.5481
2.9012 -2.5132 4.6163
1.4617 0.0000 3.5822
```

Output
The value obtained for the formation energy from the elements is -66.3 meV per atom. The space group is C2/m (12). The total magnetization comes out at 0.0 μB/f.u. For the density of states at the Fermi level, the calculation gives 5.1 states/eV/cell. The theoretical density is 2.39 Mg/m³.

A plane-wave DFT calculation with GGA-PBEsol was carried out for crystalline Sr2PtPb at its relaxed geometry.

The structure in POSCAR format:
```
Sr2PtPb
1.0
-1.8436 2.6007 6.0730
1.8436 -2.6007 6.0730
1.8436 2.6007 -6.0730
Sr Pt Pb
2 1 1
Cartesian
0.0000 0.0000 0.0000
0.0000 2.6007 2.4558
0.0000 0.0000 5.9180
1.8436 0.0000 3.7623
```

Output
The value obtained for the formation energy from the elements is -507.2 meV per atom. The space group is Imm2 (44). The total magnetization comes out at 0.0 μB/f.u. For the density of states at the Fermi level, the calculation gives 2.8 states/eV/cell. The theoretical density is 8.23 Mg/m³.